# NaPa2RhO8 | the Alexandria database | GGA-PBE | relaxed
data_NaPa2RhO8
_space_group_name_H-M_alt 'P 1'
_space_group_IT_number 1
_space_group_name_Hall 'P 1'
_cell_length_a 5.3709
_cell_length_b 5.3709
_cell_length_c 6.9550
_cell_angle_alpha 90.00
_cell_angle_beta 90.00
_cell_angle_gamma 120.00
loop_
_atom_site_label
_atom_site_type_symbol
_atom_site_fract_x
_atom_site_fract_y
_atom_site_fract_z
Na1 Na 0.0000 0.0000 0.5000
Pa1 Pa 0.6667 0.3333 0.1323
Pa2 Pa 0.3333 0.6667 0.8677
Rh1 Rh 0.0000 0.0000 0.0000
O1 O 0.8225 0.6449 0.8521
O2 O 0.3551 0.1775 0.8521
O3 O 0.8225 0.1775 0.8521
O4 O 0.1775 0.3551 0.1479
O5 O 0.6449 0.8225 0.1479
O6 O 0.1775 0.8225 0.1479
O7 O 0.6667 0.3333 0.3997
O8 O 0.3333 0.6667 0.6003
# E_tot	-0.284	hartree per atom
# D(E_F)	5.420	states/eV/cell
# uncorrected formation energy	-2.11	eV/atom